No. 1
This record from the Alexandria database describes a relaxed K4CePa3Se8 crystal. The functional is PBE-GGA.

It has space group R-3m (No. 166, hexagonal axes), with a = 8.4140 Å, b = 8.4140 Å, c = 23.5488 Å, α = 90.00°, β = 90.00° and γ = 120.00°. The distinct sites, in fractional coordinates, are K at (0.0000, 0.0000, 0.0000), K at (0.0000, 0.5000, 0.0000), Ce at (0.0000, 0.0000, 0.5000), Pa at (0.0000, 0.5000, 0.5000), Se at (0.0000, 0.0000, 0.2371) and Se at (0.0070, 0.5035, 0.7625).

Its crystal system is trigonal. Its uncorrected formation energy is -1.404 eV per atom.

=====

No. 2
This record from the Alexandria database describes a relaxed KSn2I crystal. The functional is PBE-GGA.

It has space group I-42d (No. 122), with a = 9.953 Å, b = 9.953 Å, c = 6.301 Å, α = 90.00°, β = 90.00° and γ = 90.00°. The distinct sites, in fractional coordinates, are K at (0.000, 0.000, 0.000), Sn at (0.219, 0.250, 0.625) and I at (0.000, 0.000, 0.500).

Its crystal system is tetragonal. Its uncorrected formation energy is 0.004 eV per atom.

=====

No. 3
This record from the Alexandria database describes a relaxed Sm4Se3S crystal. The functional is PBE-GGA.

It has space group Pm-3m (No. 221), with a = 5.849 Å, b = 5.849 Å, c = 5.849 Å, α = 90.00°, β = 90.00° and γ = 90.00°. The distinct sites, in fractional coordinates, are Sm at (0.000, 0.000, 0.000), Sm at (0.000, 0.500, 0.500), Se at (0.000, 0.000, 0.500) and S at (0.500, 0.500, 0.500).

Its crystal system is cubic. Its uncorrected formation energy is -1.843 eV per atom.

=====

No. 4
This record from the Alexandria database describes a relaxed Zn2OsPb crystal. The functional is PBE-GGA.

It has space group C2/m (No. 12), with a = 5.398 Å, b = 8.754 Å, c = 3.188 Å, α = 90.00°, β = 108.66° and γ = 90.00°. The distinct sites, in fractional coordinates, are Zn at (0.250, 0.250, 0.000), Os at (0.000, 0.000, 0.500) and Pb at (0.000, 0.500, 0.500).

Its total energy is -3.73 eV/atom. Its crystal system is monoclinic.

=====

Number 1: size of the total moment 0.44 μB per atom. Number 2: size of the total moment 0.00 μB per atom. Number 3: size of the total moment 0.00 μB per atom. Number 4: size of the total moment 0.00 μB per atom.